[1]
A plane-wave DFT calculation with PBE was carried out for an optimized crystal structure of Sm3Y.

The calculation puts the formation energy at 0.02 eV per atom. Its density of states at the Fermi level is 1.817 states/eV per atom. The value obtained for the energy above the lowest structure with this stoichiometry is 0.005 eV/atom. As for the size of the total moment: 0.00 μB/f.u. The space group is P6_3/mmc.

a = 7.3355 Å, b = 7.3355 Å, c = 5.7995 Å
α = 90.00°, β = 90.00°, γ = 120.00°
Closest atoms and distances in Å follow each position.
Atoms (fractional coordinates):
Sm (0.1666, 0.3332, 0.2500)  8 Sm 3.59-3.67, 4 Y 3.59-3.67
Sm (0.6668, 0.8334, 0.2500)  8 Sm 3.59-3.67, 4 Y 3.59-3.67
Sm (0.1666, 0.8334, 0.2500)  8 Sm 3.59-3.67, 4 Y 3.59-3.67
Sm (0.8334, 0.6668, 0.7500)  8 Sm 3.59-3.67, 4 Y 3.59-3.67
Sm (0.3332, 0.1666, 0.7500)  8 Sm 3.59-3.67, 4 Y 3.59-3.67
Sm (0.8334, 0.1666, 0.7500)  8 Sm 3.59-3.67, 4 Y 3.59-3.67
Y (0.3333, 0.6667, 0.7500)  12 Sm 3.59-3.67
Y (0.6667, 0.3333, 0.2500)  12 Sm 3.59-3.67

[2]
A plane-wave DFT calculation with PBE was carried out for an optimized crystal structure of TbDy2Au4.

The calculation puts the formation energy at -0.72 eV per atom. Its density of states at the Fermi level is 0.774 states/eV per atom. As for the size of the total moment: 0.00 μB/f.u. The space group is Cmmm.

a = 4.9510 Å, b = 6.0612 Å, c = 6.0612 Å
α = 104.96°, β = 90.00°, γ = 90.00°
Closest atoms and distances in Å follow each position.
Atoms (fractional coordinates):
Tb (0.5000, 0.5000, 0.5000)  8 Au 2.91-3.03
Dy (0.0000, 0.7875, 0.2125)  8 Au 2.97-3.16
Dy (0.0000, 0.2125, 0.7875)  8 Au 2.97-3.16
Au (0.0000, 0.7083, 0.7083)  2 Tb 2.91, 4 Dy 2.97-3.16, 1 Au 3.08
Au (0.0000, 0.2917, 0.2917)  2 Tb 2.91, 4 Dy 2.97-3.16, 1 Au 3.08
Au (0.5000, 0.0000, 0.5000)  2 Tb 3.03, 4 Dy 3.11
Au (0.5000, 0.5000, 0.0000)  2 Tb 3.03, 4 Dy 3.11

[3]
A plane-wave DFT calculation with PBE was carried out for an optimized crystal structure of NaSbN2F.

The energy relative to the elements, uncorrected is -0.04 eV/atom. Its density of states at the Fermi level is 0.076 states/eV per atom. The value obtained for the energy above the lowest structure with this stoichiometry is 0.000 eV/atom. As for the size of the total moment: 0.55 μB/f.u. The space group is P4/mmm.

a = 4.0016 Å, b = 4.0016 Å, c = 4.4116 Å
α = 90.00°, β = 90.00°, γ = 90.00°
Closest atoms and distances in Å follow each position.
Atoms (fractional coordinates):
Sb (0.0000, 0.0000, 0.0000)  4 N 2.00, 2 F 2.21
N (0.0000, 0.5000, 0.0000)  2 Sb 2.00
N (0.5000, 0.0000, 0.0000)  2 Sb 2.00
F (0.0000, 0.0000, 0.5000)  2 Sb 2.21
Na (0.5000, 0.5000, 0.5000)  4 F 2.83, 8 N 2.98

[4]
A plane-wave DFT calculation with PBE was carried out for an optimized crystal structure of SrSbIrI2.

The energy relative to the elements, uncorrected is 1.01 eV/atom. Its density of states at the Fermi level is 2.440 states/eV per atom. The value obtained for the energy above the lowest structure with this stoichiometry is 1.242 eV/atom. As for the size of the total moment: 3.57 μB/f.u. The space group is P4/mmm.

a = 6.1161 Å, b = 6.1161 Å, c = 6.7049 Å
α = 90.00°, β = 90.00°, γ = 90.00°
Closest atoms and distances in Å follow each position.
Atoms (fractional coordinates):
I (0.0000, 0.5000, 0.0000)  2 Sr 3.06
I (0.5000, 0.0000, 0.0000)  2 Sr 3.06
Sb (0.0000, 0.0000, 0.5000)  2 Sr 3.35
Ir (0.5000, 0.5000, 0.5000)  4 Sb 4.32, 8 I 4.54
Sr (0.0000, 0.0000, 0.0000)  4 I 3.06, 2 Sb 3.35

Q: What is the size of the total moment in the second record?
A: 0.00 μB/f.u.

Q: The highest size of the total moment belongs to which entry?
A: SrSbIrI2

Q: Which value of size of the total moment does entry 1 give?
A: 0.00 μB/f.u.

Copy entry 1 word for word.
A plane-wave DFT calculation with PBE was carried out for an optimized crystal structure of Sm3Y.

The calculation puts the formation energy at 0.02 eV per atom. Its density of states at the Fermi level is 1.817 states/eV per atom. The value obtained for the energy above the lowest structure with this stoichiometry is 0.005 eV/atom. As for the size of the total moment: 0.00 μB/f.u. The space group is P6_3/mmc.

a = 7.3355 Å, b = 7.3355 Å, c = 5.7995 Å
α = 90.00°, β = 90.00°, γ = 120.00°
Closest atoms and distances in Å follow each position.
Atoms (fractional coordinates):
Sm (0.1666, 0.3332, 0.2500)  8 Sm 3.59-3.67, 4 Y 3.59-3.67
Sm (0.6668, 0.8334, 0.2500)  8 Sm 3.59-3.67, 4 Y 3.59-3.67
Sm (0.1666, 0.8334, 0.2500)  8 Sm 3.59-3.67, 4 Y 3.59-3.67
Sm (0.8334, 0.6668, 0.7500)  8 Sm 3.59-3.67, 4 Y 3.59-3.67
Sm (0.3332, 0.1666, 0.7500)  8 Sm 3.59-3.67, 4 Y 3.59-3.67
Sm (0.8334, 0.1666, 0.7500)  8 Sm 3.59-3.67, 4 Y 3.59-3.67
Y (0.3333, 0.6667, 0.7500)  12 Sm 3.59-3.67
Y (0.6667, 0.3333, 0.2500)  12 Sm 3.59-3.67